AlAsH: optimized geometry, GGA-PBE.

Lattice parameters (Å, degrees): 5.545 5.545 6.061 114.78 114.78 43.65
Element x y z (fractional)
1 Al 0.104 0.104 0.237
2 Al 0.896 0.896 0.763
3 As 0.391 0.391 0.534
4 As 0.609 0.609 0.466
5 H 0.100 0.100 0.958
6 H 0.900 0.900 0.042

Results
Energy above the most stable polymorph in this dataset in meV/atom: 43
Space-group type: C2/m

RbTeWI2: optimized geometry, GGA-PBE.

Lattice parameters (Å, degrees): 5.979 5.979 5.258 90.00 90.00 90.00
Element x y z (fractional)
1 Rb 0.000 0.000 0.000
2 Te 0.500 0.500 0.000
3 W 0.500 0.500 0.500
4 I 0.000 0.500 0.500
5 I 0.500 0.000 0.500

Results
Energy above the most stable polymorph in this dataset in meV/atom: 0
Space-group type: P4/mmm
Uncorrected formation energy in meV per atom: -54

Y2Ho3Bi2: optimized geometry, GGA-PBE.

Lattice parameters (Å, degrees): 6.452 6.452 8.593 107.18 107.18 39.23
Element x y z (fractional)
1 Y 0.123 0.123 0.270
2 Y 0.877 0.877 0.730
3 Ho 0.374 0.374 0.056
4 Ho 0.500 0.500 0.500
5 Ho 0.626 0.626 0.944
6 Bi 0.175 0.175 0.689
7 Bi 0.825 0.825 0.311

Results
Space-group type: C2/m
Calculated formation energy in eV/f.u.: -3.259

Q: Which total DFT energy (no corrections) values were calculated for the entries above? A: -4.01; -4.09; -5.38, in eV/atom.